Compound: Co2TeAs
Source: Alexandria via LeMat-Bulk
Functional: PBEsol
Structure: optimized geometry

- Calculated total energy: -71.75 eV/cell
- Density of states at the Fermi level: 14.1 states/eV/cell

a b c (Å): 3.7139 3.7139 17.0935
angles (deg): 90.00 90.00 120.00
Space group R3m (No. 160, hexagonal axes)
One atom of each set of equivalent atoms:
Co: 0.0000 0.0000 0.0000
Co: 0.0000 0.0000 0.2913
Te: 0.0000 0.0000 0.7470
As: 0.0000 0.0000 0.5675

---

Compound: ThCo2As2
Source: Alexandria via LeMat-Bulk
Functional: PBEsol
Structure: optimized geometry

- Calculated total energy: -76.22 eV/cell
- Density of states at the Fermi level: 4.0 states/eV/cell
- Calculated formation energy: -0.863 eV/atom

a b c (Å): 4.132 4.132 9.264
angles (deg): 90.00 90.00 90.00
Space group P4/nmm (No. 129, origin choice 2)
One atom of each set of equivalent atoms:
Th: 0.250 0.250 0.246
Co: 0.250 0.250 0.615
Co: 0.250 0.750 0.000
As: 0.250 0.250 0.868
As: 0.250 0.750 0.500

---

Compound: TlCoAs2
Source: Alexandria via LeMat-Bulk
Functional: PBEsol
Structure: optimized geometry

- ΔE to the lowest computed polymorph: 0.557 eV per atom
- Calculated total energy: -73.33 eV/cell
- Density of states at the Fermi level: 3.8 states/eV/cell
- Calculated formation energy: 0.562 eV/atom

a b c (Å): 6.562 6.562 6.562
angles (deg): 90.00 90.00 90.00
Space group Fm-3m (No. 225)
One atom of each set of equivalent atoms:
Tl: 0.000 0.000 0.000
Co: 0.000 0.000 0.500
As: 0.250 0.250 0.250

---

Compound: TlCoAs2
Source: Alexandria via LeMat-Bulk
Functional: PBEsol
Structure: optimized geometry

- ΔE to the lowest computed polymorph: 0.000 eV per atom
- Calculated total energy: -41.12 eV/cell
- Density of states at the Fermi level: 4.9 states/eV/cell
- Calculated formation energy: 0.005 eV/atom

a b c (Å): 2.931 2.964 17.472
angles (deg): 90.00 90.00 90.00
Space group Imm2 (No. 44)
One atom of each set of equivalent atoms:
Tl: 0.000 0.000 0.000
Co: 0.000 0.500 0.763
As: 0.000 0.000 0.659
As: 0.000 0.500 0.332

---

Compound: Tl2CoAs
Source: Alexandria via LeMat-Bulk
Functional: PBEsol
Structure: optimized geometry

- ΔE to the lowest computed polymorph: 0.000 eV per atom
- Calculated total energy: -15.87 eV/cell
- Density of states at the Fermi level: 3.9 states/eV/cell
- Calculated formation energy: 0.559 eV/atom

a b c (Å): 4.578 3.339 5.710
angles (deg): 90.00 109.33 90.00
Space group P2/m (No. 10)
One atom of each set of equivalent atoms:
Tl: 0.059 0.000 0.267
Co: 0.500 0.500 0.500
As: 0.500 0.500 0.000

---

Compound: Tl2CoAs
Source: Alexandria via LeMat-Bulk
Functional: PBEsol
Structure: optimized geometry

- ΔE to the lowest computed polymorph: 0.026 eV per atom
- Calculated total energy: -31.53 eV/cell
- Density of states at the Fermi level: 7.1 states/eV/cell
- Calculated formation energy: 0.585 eV/atom

a b c (Å): 3.533 5.120 8.719
angles (deg): 90.00 90.00 90.00
Space group Immm (No. 71)
One atom of each set of equivalent atoms:
Tl: 0.000 0.000 0.227
Co: 0.000 0.500 0.500
As: 0.000 0.500 0.000

---

Compound: Tl2CoAs
Source: Alexandria via LeMat-Bulk
Functional: PBEsol
Structure: optimized geometry

- ΔE to the lowest computed polymorph: 0.052 eV per atom
- Calculated total energy: -15.66 eV/cell
- Density of states at the Fermi level: 4.2 states/eV/cell
- Calculated formation energy: 0.611 eV/atom

a b c (Å): 4.128 3.913 5.179
angles (deg): 90.00 104.32 90.00
Space group P2/m (No. 10)
One atom of each set of equivalent atoms:
Tl: 0.000 0.000 0.000
Tl: 0.000 0.500 0.500
Co: 0.500 0.000 0.500
As: 0.500 0.500 0.000

---

Compound: TlCoAs3
Source: Alexandria via LeMat-Bulk
Functional: PBEsol
Structure: optimized geometry

- Calculated total energy: -24.01 eV/cell
- Density of states at the Fermi level: 5.3 states/eV/cell
- Calculated formation energy: 0.335 eV/atom

a b c (Å): 4.626 4.626 4.626
angles (deg): 90.00 90.00 90.00
Space group Pm-3m (No. 221)
One atom of each set of equivalent atoms:
Tl: 0.000 0.000 0.000
Co: 0.500 0.500 0.500
As: 0.000 0.500 0.500